GGA-PBE CuBi2Rh, relaxed; crystal system = trigonal; electronic total energy = -4.5965 eV/atom; energy of formation from the pure elements = 0.206 eV per atom
1.0
1.832 1.058 8.685
-1.832 1.058 8.685
0.000 -2.116 8.685
Cu Bi Rh
1 2 1
Direct
0.000 0.000 0.000
0.099 0.099 0.099
0.901 0.901 0.901
0.500 0.500 0.500